1.
Density functional theory data (PBE-GGA) for crystalline Li2ZnAg at its relaxed geometry.

Calculated values
final energy	-2.17	eV per atom
crystal system	orthorhombic
DOS at the Fermi energy	1.1	states/eV per cell

The structure in CIF format:
```
data_Li2ZnAg
_cell_length_a 3.1165
_cell_length_b 3.1827
_cell_length_c 6.1950
_cell_angle_alpha 90.00
_cell_angle_beta 90.00
_cell_angle_gamma 90.00
_symmetry_space_group_name_H-M 'P m m m'
_symmetry_Int_Tables_number 47
loop_
_symmetry_equiv_pos_as_xyz
'x,y,z'
'-x,-y,-z'
'-x,-y,z'
'x,y,-z'
'x,-y,-z'
'-x,y,z'
'-x,y,-z'
'x,-y,z'
loop_
_atom_site_label
_atom_site_fract_x
_atom_site_fract_y
_atom_site_fract_z
_atom_site_occupancy
Li1 0.0000 0.0000 0.2454 1
Zn1 0.5000 0.5000 0.0000 1
Ag1 0.5000 0.5000 0.5000 1
```

2.
Density functional theory data (PBE-GGA) for crystalline Li8Zn6Ag at its relaxed geometry.

Calculated values
final energy	-1.84	eV per atom
distance to the lowest polymorph of the same formula	0.0000	eV/atom
crystal system	trigonal
DOS at the Fermi energy	14.6	states/eV per cell

The structure in CIF format:
```
data_Li8Zn6Ag
_cell_length_a 7.9343
_cell_length_b 7.9343
_cell_length_c 13.9755
_cell_angle_alpha 90.00
_cell_angle_beta 90.00
_cell_angle_gamma 120.00
_symmetry_space_group_name_H-M 'R -3'
_symmetry_Int_Tables_number 148
_symmetry_space_group_name_Hall '-R 3'
loop_
_atom_site_label
_atom_site_fract_x
_atom_site_fract_y
_atom_site_fract_z
_atom_site_occupancy
Li1 0.0000 0.0000 0.1129 1
Li2 0.0892 0.5372 0.3348 1
Zn1 0.0029 0.6641 0.4994 1
Ag1 0.0000 0.0000 0.5000 1
```

3.
Density functional theory data (PBE-GGA) for crystalline Li2Zn4Ag3 at its relaxed geometry.

Calculated values
final energy	-2.09	eV per atom
distance to the lowest polymorph of the same formula	0.0126	eV/atom
crystal system	monoclinic
DOS at the Fermi energy	4.4	states/eV per cell

The structure in CIF format:
```
data_Li2Zn4Ag3
_cell_length_a 7.7722
_cell_length_b 4.4695
_cell_length_c 8.1473
_cell_angle_alpha 90.00
_cell_angle_beta 90.19
_cell_angle_gamma 90.00
_symmetry_space_group_name_H-M 'C 1 2/m 1'
_symmetry_Int_Tables_number 12
loop_
_symmetry_equiv_pos_as_xyz
'x,y,z'
'-x,-y,-z'
'-x,y,-z'
'x,-y,z'
'x+1/2,y+1/2,z'
'-x+1/2,-y+1/2,-z'
'-x+1/2,y+1/2,-z'
'x+1/2,-y+1/2,z'
loop_
_atom_site_label
_atom_site_fract_x
_atom_site_fract_y
_atom_site_fract_z
_atom_site_occupancy
Li1 0.1669 0.0000 0.2247 1
Zn1 0.0005 0.5000 0.3347 1
Zn2 0.1668 0.0000 0.8959 1
Ag1 0.0000 0.5000 0.0000 1
Ag2 0.1665 0.0000 0.5718 1
```

4.
Density functional theory data (PBE-GGA) for crystalline LiZn2Ag4 at its relaxed geometry.

Calculated values
final energy	-2.28	eV per atom
distance to the lowest polymorph of the same formula	0.0237	eV/atom
crystal system	orthorhombic
DOS at the Fermi energy	4.3	states/eV per cell

The structure in CIF format:
```
data_LiZn2Ag4
_cell_length_a 4.6606
_cell_length_b 18.1867
_cell_length_c 2.8720
_cell_angle_alpha 90.00
_cell_angle_beta 90.00
_cell_angle_gamma 90.00
_symmetry_space_group_name_H-M 'C m m m'
_symmetry_Int_Tables_number 65
_symmetry_space_group_name_Hall '-C 2 2'
loop_
_atom_site_label
_atom_site_fract_x
_atom_site_fract_y
_atom_site_fract_z
_atom_site_occupancy
Li1 0.0000 0.0000 0.0000 1
Zn1 0.0000 0.2861 0.5000 1
Ag1 0.0000 0.1367 0.5000 1
Ag2 0.0000 0.4208 0.0000 1
```

Look up the final energy of the second one.
-1.84 eV per atom